# 1
RbCuTePtS2 (PBE, relaxed); symmetry = No. 63; spin magnetization = 0.00 μB per atom; E = -4.11 eV per atom
1.0
2.942 1.323 -7.390
-5.629 0.589 5.743
4.396 9.081 3.377
Cu Pt Rb S Te
2 2 2 4 2
Direct
0.945 0.055 0.250
0.055 0.945 0.750
0.500 0.500 0.000
0.500 0.500 0.500
0.265 0.735 0.250
0.735 0.265 0.750
0.904 0.096 0.047
0.904 0.096 0.453
0.096 0.904 0.547
0.096 0.904 0.953
0.565 0.435 0.250
0.435 0.565 0.750

***

# 2
BPdAu2 (PBE, relaxed); symmetry = No. 216; E = -3.87 eV per atom
1.0
0.000 3.118 3.118
3.118 0.000 3.118
3.118 3.118 0.000
Au B Pd
2 1 1
Direct
0.000 0.000 0.000
0.750 0.750 0.750
0.500 0.500 0.500
0.250 0.250 0.250

***

# 3
GdPtSO (PBE, relaxed); symmetry = No. 61; ΔE to the lowest computed polymorph = 0.004 eV per atom; spin magnetization = 0.00 μB per atom; E = -6.63 eV per atom
1.0
-0.712 -6.222 -1.439
3.147 -2.954 11.214
-7.202 0.337 2.110
Gd O Pt S
8 8 8 8
Direct
0.090 0.211 0.124
0.410 0.711 0.124
0.590 0.211 0.376
0.910 0.711 0.376
0.090 0.289 0.624
0.410 0.789 0.624
0.590 0.289 0.876
0.910 0.789 0.876
0.756 0.248 0.126
0.744 0.748 0.126
0.256 0.248 0.374
0.244 0.748 0.374
0.756 0.252 0.626
0.744 0.752 0.626
0.256 0.252 0.874
0.244 0.752 0.874
0.289 0.489 0.001
0.211 0.989 0.001
0.789 0.489 0.499
0.711 0.989 0.499
0.289 0.011 0.501
0.211 0.511 0.501
0.789 0.011 0.999
0.711 0.511 0.999
0.003 0.495 0.211
0.497 0.995 0.211
0.503 0.495 0.289
0.997 0.995 0.289
0.003 0.005 0.711
0.497 0.505 0.711
0.503 0.005 0.789
0.997 0.505 0.789

***

# 4
KIrNO (PBE, relaxed); symmetry = No. 129; ΔE to the lowest computed polymorph = 0.875 eV per atom; spin magnetization = 0.14 μB per atom; E = -5.31 eV per atom
1.0
4.369 0.000 0.000
0.000 4.369 0.000
0.000 0.000 7.542
Ir K N O
2 2 2 2
Direct
0.000 0.500 0.074
0.500 0.000 0.926
0.000 0.000 0.500
0.500 0.500 0.500
0.000 0.500 0.309
0.500 0.000 0.691
0.000 0.000 0.000
0.500 0.500 0.000

***

# 5
BaDyCdP2 (PBE, relaxed); symmetry = No. 36; spin magnetization = 0.01 μB per atom; E = -4.55 eV per atom
1.0
-1.217 9.094 0.277
0.725 -8.061 -4.329
-6.823 -0.931 0.591
Ba Cd Dy P
2 2 2 4
Direct
0.197 0.803 0.437
0.803 0.197 0.937
0.605 0.395 0.077
0.395 0.605 0.577
0.972 0.028 0.244
0.028 0.972 0.744
0.834 0.166 0.424
0.545 0.455 0.452
0.166 0.834 0.924
0.455 0.545 0.952

***

# 6
NaHfAgSe3 (PBE, relaxed); symmetry = No. 11; ΔE to the lowest computed polymorph = 0.002 eV per atom; spin magnetization = 0.00 μB per atom; E = -5.09 eV per atom
1.0
7.755 0.000 0.000
0.000 3.877 0.000
-2.815 0.000 9.365
Ag Hf Na Se
2 2 2 6
Direct
0.929 0.750 0.395
0.071 0.250 0.605
0.688 0.250 0.165
0.312 0.750 0.835
0.261 0.250 0.302
0.739 0.750 0.698
0.914 0.750 0.130
0.431 0.750 0.131
0.707 0.250 0.441
0.293 0.750 0.559
0.569 0.250 0.869
0.086 0.250 0.870